# LiSnBi2S4

LiSnBi2S4 after structural relaxation (PBE-GGA, the Alexandria database).

Calculated values
As for the total energy: -4.231 eV/atom. The value obtained for the density of states at the Fermi level is 0.2230 states/eV/atom.

Lattice parameters (Å, degrees): 6.8195 4.3521 6.9432 90.00 111.56 90.00
Last column: nearest neighbours and their distance in Å.
Space group P2/m (No. 10)
Symmetry-distinct sites (fractional):
Li  0.0000  0.0000  0.0000  6 S 2.81-2.91
Sn  0.0000  0.5000  0.5000  6 S 2.86-2.92
Bi  0.5000  0.0000  0.5000  6 S 2.88-2.91
Bi  0.5000  0.5000  0.0000  6 S 2.83-2.90
S  0.2494  0.0000  0.7550  1 Li 2.81, 3 Bi 2.88-2.90, 2 Sn 2.92
S  0.2515  0.5000  0.2492  3 Bi 2.83-2.91, 1 Sn 2.86, 2 Li 2.91

***

# KTe3Pt

KTe3Pt after structural relaxation (PBE-GGA, the Alexandria database).

Calculated values
As for the total energy: -1.802 eV/atom. The value obtained for the density of states at the Fermi level is 1.9192 states/eV/atom.

Lattice parameters (Å, degrees): 5.8532 5.8532 5.8532 90.00 90.00 90.00
Last column: nearest neighbours and their distance in Å.
Space group Pm-3m (No. 221)
Symmetry-distinct sites (fractional):
K  0.0000  0.0000  0.0000  6 Te 2.93
Te  0.0000  0.0000  0.5000  2 K 2.93
Pt  0.5000  0.5000  0.5000  12 Te 4.14

***

# As2H4Cl5

As2H4Cl5 after structural relaxation (PBE-GGA, the Alexandria database).

Calculated values
As for the total energy: -3.109 eV/atom. The value obtained for the density of states at the Fermi level is 0.0585 states/eV/atom.

Lattice parameters (Å, degrees): 20.0388 3.7485 7.3379 90.00 109.65 90.00
Last column: nearest neighbours and their distance in Å.
Space group C2/m (No. 12)
Symmetry-distinct sites (fractional):
As  0.1643  0.0000  0.1669  1 H 1.54
H  0.0213  0.5000  0.5071  1 H 0.82
H  0.0827  0.0000  0.0947  1 As 1.54
Cl  0.0000  0.0000  0.5000  4 H 1.92
Cl  0.1538  0.5000  0.9239  2 As 2.55
Cl  0.1560  0.5000  0.3933  2 As 2.55

***

# Y4Mn8Fe

Y4Mn8Fe after structural relaxation (PBE-GGA, the Alexandria database).

Calculated values
As for the total energy: -7.912 eV/atom. The value obtained for the density of states at the Fermi level is 1.1972 states/eV/atom.

Lattice parameters (Å, degrees): 7.0011 7.0011 9.5652 90.00 90.00 90.00
Last column: nearest neighbours and their distance in Å.
Space group I4/mmm (No. 139)
Symmetry-distinct sites (fractional):
Y  0.2500  0.2500  0.2500  8 Mn 2.97-3.01
Mn  0.0000  0.2244  0.0000  4 Mn 2.22-2.30
Mn  0.0000  0.3224  0.5000  1 Fe 2.26, 3 Mn 2.30-2.49
Fe  0.0000  0.0000  0.5000  4 Mn 2.26

***

# Pm5Be2Ge5

Pm5Be2Ge5 after structural relaxation (PBE-GGA, the Alexandria database).

Calculated values
As for the total energy: -5.193 eV/atom. The value obtained for the density of states at the Fermi level is 0.5765 states/eV/atom.

Lattice parameters (Å, degrees): 14.9360 4.0492 11.3422 90.00 128.69 90.00
Last column: nearest neighbours and their distance in Å.
Space group C2/m (No. 12)
Symmetry-distinct sites (fractional):
Pm  0.0000  0.0000  0.0000  6 Ge 3.04-3.09, 4 Be 3.06
Pm  0.1260  0.5000  0.8238  5 Ge 3.04-3.13, 1 Be 3.12
Pm  0.1851  0.5000  0.5777  7 Ge 3.03-3.22, 3 Be 3.08
Be  0.1161  0.5000  0.2590  3 Ge 2.32-2.35
Ge  0.0000  0.0000  0.5000  2 Ge 2.88, 4 Pm 3.08
Ge  0.0717  0.0000  0.3164  2 Be 2.35
Ge  0.1990  0.5000  0.1414  1 Be 2.32

***

# TiCdHg2

TiCdHg2 after structural relaxation (PBE-GGA, the Alexandria database).

Calculated values
As for the total energy: -2.090 eV/atom. The value obtained for the density of states at the Fermi level is 0.3612 states/eV/atom.

Lattice parameters (Å, degrees): 7.7120 7.7120 6.1280 90.00 90.00 90.00
Last column: nearest neighbours and their distance in Å.
Space group I-42d (No. 122)
Symmetry-distinct sites (fractional):
Ti  0.0000  0.0000  0.0000  4 Hg 2.77, 2 Cd 3.06
Cd  0.0000  0.0000  0.5000  4 Hg 2.89, 2 Ti 3.06
Hg  0.2385  0.7500  0.1250  2 Ti 2.77, 2 Cd 2.89, 2 Hg 3.07